Entry 1:
Material: KMn2As
Method: DFT, PBE
State: relaxed

space group: No. 47

a b c (Å): 2.9933 5.3653 5.2071
angles (deg): 90.00 90.00 90.00
With the nearest neighbours (Å) after each atom.
Positions (direct):
As1 0.5000 0.0000 0.5000  2 As 2.99, 4 Mn 3.00, 4 K 3.07
Mn1 0.5000 0.5000 0.0000  6 Mn 2.99-3.07, 4 K 3.00
Mn2 0.0000 0.0000 0.0000  6 Mn 2.99-3.07, 4 As 3.00
K1 0.0000 0.5000 0.5000  2 K 2.99, 4 Mn 3.00, 4 As 3.07



Entry 2:
Material: KMn2As
Method: DFT, PBE
State: relaxed

space group: No. 65

a b c (Å): 3.2860 3.2860 8.4251
angles (deg): 90.00 90.00 89.91
With the nearest neighbours (Å) after each atom.
Positions (direct):
Mn1 0.0000 0.0000 0.0992  1 Mn 2.54, 4 As 2.65
Mn2 0.0000 0.0000 0.4008  1 Mn 2.54, 4 As 2.65
K1 0.5000 0.5000 0.7500  4 K 3.29
As1 0.5000 0.5000 0.2500  8 Mn 2.65



DFT formation energy in eV per atom, matching the order above: 0.7700 0.4794